No. 1
The following is a PBEsol calculation of crystalline Zr3HPd at its relaxed geometry, from Alexandria.

Cell lengths 4.320, 4.320, 4.320 Å; angles 90.00, 90.00, 90.00 degrees
Sites, in units of the cell vectors:
Zr1 0.000 0.000 0.500
Zr2 0.000 0.500 0.000
Zr3 0.500 0.000 0.000
H1 0.000 0.000 0.000
Pd1 0.500 0.500 0.500

Summary:
Raw total energy ... -7.641 eV/atom

No. 2
The following is a PBEsol calculation of crystalline Zr2H2Pd at its relaxed geometry, from Alexandria.

Cell lengths 6.658, 6.658, 6.658 Å; angles 152.59, 152.59, 39.15 degrees
Sites, in units of the cell vectors:
Zr1 0.143 0.143 0.000
Zr2 0.857 0.857 0.000
H1 0.250 0.750 0.500
H2 0.750 0.250 0.500
Pd1 0.500 0.500 0.000

Summary:
Raw total energy ... -6.751 eV/atom